--- 1 ---
Compound: P3WSe
Source: Alexandria via LeMat-Bulk
Functional: PBE
Structure: relaxed

Calculated values
- N(E_F): 1.621 states/eV per atom
- V: 18.6 Å³ per atom
- Theoretical density: 6.4 Mg/m³

Unit cell a=4.5278 b=4.5278 c=4.5278 alpha=90.00 beta=90.00 gamma=90.00
With the nearest neighbours (Å) after each atom.
Sites, in units of the cell vectors:
P 0.0000 0.0000 0.5000  2 Se 2.26
P 0.0000 0.5000 0.0000  2 Se 2.26
P 0.5000 0.0000 0.0000  2 Se 2.26
W 0.5000 0.5000 0.5000  12 P 3.20
Se 0.0000 0.0000 0.0000  6 P 2.26

=====

--- 2 ---
Compound: P3WSe
Source: Alexandria via LeMat-Bulk
Functional: PBE
Structure: relaxed

Calculated values
- N(E_F): 0.602 states/eV per atom
- V: 20.7 Å³ per atom
- Theoretical density: 5.7 Mg/m³

Unit cell a=4.6973 b=4.6973 c=4.6973 alpha=90.00 beta=90.00 gamma=90.00
With the nearest neighbours (Å) after each atom.
Sites, in units of the cell vectors:
P 0.0000 0.0000 0.5000  2 W 2.35
P 0.0000 0.5000 0.0000  2 W 2.35
P 0.5000 0.0000 0.0000  2 W 2.35
W 0.0000 0.0000 0.0000  6 P 2.35
Se 0.5000 0.5000 0.5000  12 P 3.32

=====

It is 2 that is the most stable of them.